(1)
PBE-GGA Zn2InAg7Sb2, optimized geometry; calculated volume = 237.2 Å³ per cell; energy relative to the elements, uncorrected = 4.6 kJ per mole of atoms; total magnetization = 0.0 Bohr magnetons per cell
1.0
2.9790 -3.0049 0.0000
2.9790 3.0049 0.0000
-0.0755 0.0000 13.2486
Zn In Ag Sb
2 1 7 2
direct
0.0000 0.0000 0.1822
0.0000 0.0000 0.8178
0.5000 0.5000 0.5000
0.0000 0.0000 0.5000
0.0000 0.4993 0.3386
0.0000 0.5007 0.6614
0.2342 0.2342 0.9997
0.4993 0.0000 0.3386
0.5007 0.0000 0.6614
0.7658 0.7658 0.0003
0.4999 0.4999 0.1800
0.5001 0.5001 0.8200

---

(2)
PBE-GGA ScIn3Ag, optimized geometry; calculated volume = 172.9 Å³ per cell; total magnetization = 0.7 Bohr magnetons per cell; energy of formation from the pure elements = 0.65 eV per atom
1.0
5.5706 0.0000 0.0000
0.0000 5.5706 0.0000
0.0000 0.0000 5.5706
Sc In Ag
1 3 1
direct
0.0000 0.0000 0.0000
0.0000 0.0000 0.5000
0.0000 0.5000 0.0000
0.5000 0.0000 0.0000
0.5000 0.5000 0.5000

---

(3)
PBE-GGA ScIn2Ag, optimized geometry; calculated volume = 87.7 Å³ per cell; total magnetization = 0.4 Bohr magnetons per cell; energy of formation from the pure elements = -0.14 eV per atom
1.0
3.1351 0.0000 0.0000
0.0000 4.3155 0.0000
0.0000 0.0000 6.4801
Sc In Ag
1 2 1
direct
0.0000 0.0000 0.0000
0.5000 0.5000 0.2539
0.5000 0.5000 0.7461
0.0000 0.0000 0.5000